# SbTeMo2 | Alexandria via LeMat-Bulk | PBE | optimized geometry
# ΔE_f (raw) = 28.8 kJ per mole of atoms
# polymorph energy (0 for the lowest one) = 178 meV per atom
# magnetization = 0.0 μB/f.u.
# calculated total energy = -110.9 eV per cell
data_SbTeMo2
_space_group_name_H-M_alt 'F m -3 m'
_space_group_IT_number 225
_space_group_name_Hall '-F 4 2 3'
_cell_length_a 6.651
_cell_length_b 6.651
_cell_length_c 6.651
_cell_angle_alpha 90.00
_cell_angle_beta 90.00
_cell_angle_gamma 90.00
loop_
_atom_site_label
_atom_site_type_symbol
_atom_site_fract_x
_atom_site_fract_y
_atom_site_fract_z
_atom_site_occupancy
Sb1 Sb 0.000 0.000 0.000 1
Te1 Te 0.000 0.000 0.500 1
Mo1 Mo 0.250 0.250 0.250 1

# TbHfAgAu | Alexandria via LeMat-Bulk | PBE | optimized geometry
# magnetization = 0.0 μB/f.u.
# energy of formation from the pure elements = -0.294 eV/atom
# calculated total energy = -87.6 eV per cell
data_TbHfAgAu
_space_group_name_H-M_alt 'F -4 3 m'
_space_group_IT_number 216
_space_group_name_Hall 'F -4 2 3'
_cell_length_a 7.026
_cell_length_b 7.026
_cell_length_c 7.026
_cell_angle_alpha 90.00
_cell_angle_beta 90.00
_cell_angle_gamma 90.00
loop_
_atom_site_label
_atom_site_type_symbol
_atom_site_fract_x
_atom_site_fract_y
_atom_site_fract_z
_atom_site_occupancy
Tb1 Tb 0.000 0.000 0.000 1
Hf1 Hf 0.000 0.000 0.500 1
Ag1 Ag 0.250 0.250 0.250 1
Au1 Au 0.250 0.250 0.750 1